(1)
ZnIn2HgBr after structural relaxation, computed with PBE-GGA.

abc: 5.339 5.339 5.274
angles: 90.00 90.00 90.00
Space group P4/mmm (No. 123)
Symmetry-distinct sites (fractional):
Zn  0.000  0.000  0.000 x1
In  0.000  0.500  0.000 x2
Hg  0.000  0.000  0.500 x1
Br  0.500  0.500  0.500 x1

DFT total energy, eV/atom: -1.850
ΔE_f (raw), meV per atom: -105
DOS(E_F), states/eV/atom: 0.120

(2)
ZrIn3Hg2Br6 after structural relaxation, computed with PBE-GGA.

abc: 16.303 7.953 7.135
angles: 90.00 91.79 90.00
Space group C2/m (No. 12)
Symmetry-distinct sites (fractional):
Zr  0.000  0.000  0.000 x2
In  0.000  0.500  0.500 x2
In  0.250  0.250  0.000 x4
Hg  0.152  0.500  0.743 x4
Br  0.078  0.236  0.205 x8
Br  0.124  0.000  0.763 x4

DFT total energy, eV/atom: -3.029
ΔE_f (raw), meV per atom: -745
DOS(E_F), states/eV/atom: 0.395

(3)
HgIrBr3 after structural relaxation, computed with PBE-GGA.

abc: 5.122 5.122 5.122
angles: 90.00 90.00 90.00
Space group Pm-3m (No. 221)
Symmetry-distinct sites (fractional):
Hg  0.000  0.000  0.000 x1
Ir  0.500  0.500  0.500 x1
Br  0.000  0.500  0.500 x3

DFT total energy, eV/atom: -2.656
ΔE_f (raw), meV per atom: 180
DOS(E_F), states/eV/atom: 0.828

(4)
Hg3IrBr after structural relaxation, computed with PBE-GGA.

abc: 5.281 5.281 5.281
angles: 90.00 90.00 90.00
Space group Pm-3m (No. 221)
Symmetry-distinct sites (fractional):
Hg  0.000  0.000  0.500 x3
Ir  0.000  0.000  0.000 x1
Br  0.500  0.500  0.500 x1

DFT total energy, eV/atom: -1.999
ΔE_f (raw), meV per atom: 289
DOS(E_F), states/eV/atom: 0.895

(5)
HgIrBr4 after structural relaxation, computed with PBE-GGA.

abc: 8.754 8.754 8.754
angles: 90.00 90.00 90.00
Space group F-43m (No. 216)
Symmetry-distinct sites (fractional):
Hg  0.000  0.000  0.000 x4
Ir  0.250  0.250  0.750 x4
Br  0.123  0.123  0.377 x16

DFT total energy, eV/atom: -1.318
ΔE_f (raw), meV per atom: 1325
DOS(E_F), states/eV/atom: 1.333

(6)
Hg2IrBr6 after structural relaxation, computed with PBE-GGA.

abc: 14.559 4.045 10.194
angles: 90.00 106.19 90.00
Space group C2/m (No. 12)
Symmetry-distinct sites (fractional):
Hg  0.174  0.000  0.331 x4
Ir  0.000  0.500  0.000 x2
Br  0.022  0.500  0.250 x4
Br  0.119  0.000  0.028 x4
Br  0.180  0.000  0.617 x4

DFT total energy, eV/atom: -2.392
ΔE_f (raw), meV per atom: -225
DOS(E_F), states/eV/atom: 0.379

(7)
HgIrBr after structural relaxation, computed with PBE-GGA.

abc: 3.4629 3.4629 6.1773
angles: 90.00 90.00 120.00
Space group P3m1 (No. 156)
Symmetry-distinct sites (fractional):
Hg  0.0000  0.0000  0.0000 x1
Ir  0.6667  0.3333  0.3150 x1
Br  0.3333  0.6667  0.5855 x1

DFT total energy, eV/atom: -2.929
ΔE_f (raw), meV per atom: 683
DOS(E_F), states/eV/atom: 1.149

(8)
HgIr3Br after structural relaxation, computed with PBE-GGA.

abc: 5.059 5.059 5.059
angles: 90.00 90.00 90.00
Space group Pm-3m (No. 221)
Symmetry-distinct sites (fractional):
Hg  0.000  0.000  0.000 x1
Ir  0.000  0.000  0.500 x3
Br  0.500  0.500  0.500 x1

DFT total energy, eV/atom: -3.191
ΔE_f (raw), meV per atom: 2521
DOS(E_F), states/eV/atom: 2.482